1.
Below is a relaxed structure of La10Ge3Pb3, with properties calculated at the PBE level.

Values from the calculation:
formation energy	-0.6154	eV/atom
spin magnetization	1.2	Bohr magnetons per cell

Lattice parameters (Å, degrees): 9.3697 9.3697 6.8537 90.00 90.00 120.00
With the nearest neighbours (Å) after each atom.
Space group P-62m (No. 189)
Asymmetric unit:
La: 0.0000 0.2450 0.0000 (multiplicity 3)  3 Ge 3.14-3.50
La: 0.0000 0.7483 0.5000 (multiplicity 3)  3 Pb 3.23-3.33
La: 0.3333 0.6667 0.2203 (multiplicity 4)  1 La 3.02, 3 Ge 3.29
Ge: 0.0000 0.6181 0.0000 (multiplicity 3)  7 La 3.14-3.50
Pb: 0.0000 0.3927 0.5000 (multiplicity 3)  7 La 3.23-3.46

***

2.
Below is a relaxed structure of LaGePb3, with properties calculated at the PBE level.

Values from the calculation:
formation energy	0.8699	eV/atom
spin magnetization	0.0	Bohr magnetons per cell

Lattice parameters (Å, degrees): 6.0774 6.0774 6.0774 90.00 90.00 90.00
With the nearest neighbours (Å) after each atom.
Space group Pm-3m (No. 221)
Asymmetric unit:
La: 0.0000 0.0000 0.0000 (multiplicity 1)  6 Pb 3.04
Ge: 0.5000 0.5000 0.5000 (multiplicity 1)  12 Pb 4.30
Pb: 0.0000 0.0000 0.5000 (multiplicity 3)  2 La 3.04

***

3.
Below is a relaxed structure of La2GePb, with properties calculated at the PBE level.

Values from the calculation:
formation energy	-0.6352	eV/atom
spin magnetization	0.0	Bohr magnetons per cell

Lattice parameters (Å, degrees): 4.0472 4.0472 7.0841 90.00 90.00 90.00
With the nearest neighbours (Å) after each atom.
Space group P4/mmm (No. 123)
Asymmetric unit:
La: 0.0000 0.0000 0.2202 (multiplicity 2)  1 La 3.12, 4 Ge 3.26, 4 Pb 3.48
Ge: 0.5000 0.5000 0.0000 (multiplicity 1)  8 La 3.26, 2 Pb 3.54
Pb: 0.5000 0.5000 0.5000 (multiplicity 1)  8 La 3.48, 2 Ge 3.54

***

4.
Below is a relaxed structure of La12Ge5Pb, with properties calculated at the PBE level.

Values from the calculation:
formation energy	-0.5876	eV/atom
spin magnetization	0.0	Bohr magnetons per cell

Lattice parameters (Å, degrees): 9.9655 10.2882 10.9752 90.00 90.00 90.00
With the nearest neighbours (Å) after each atom.
Space group Immm (No. 71)
Asymmetric unit:
La: 0.0000 0.1988 0.2327 (multiplicity 8)  2 Ge 3.12-3.27
La: 0.2081 0.5000 0.1794 (multiplicity 8)  3 Ge 3.05-3.15
La: 0.2325 0.3188 0.5000 (multiplicity 8)  4 Ge 3.24-3.31
Ge: 0.0000 0.0000 0.0000 (multiplicity 2)  8 La 3.25-3.27
Ge: 0.0000 0.3726 0.0000 (multiplicity 4)  1 Ge 2.62
Ge: 0.0000 0.5000 0.3835 (multiplicity 4)  1 Ge 2.56
Pb: 0.0000 0.0000 0.5000 (multiplicity 2)  8 La 3.51-3.58

***

5.
Below is a relaxed structure of La6GePb2, with properties calculated at the PBE level.

Values from the calculation:
formation energy	-0.5398	eV/atom
spin magnetization	0.0	Bohr magnetons per cell

Lattice parameters (Å, degrees): 4.5025 14.8554 8.8203 90.00 90.00 90.00
With the nearest neighbours (Å) after each atom.
Space group Amm2 (No. 38)
Asymmetric unit:
La: 0.0000 0.0000 0.0000 (multiplicity 2)  2 Ge 3.09, 2 La 3.25, 2 Pb 3.33
La: 0.0000 0.1040 0.5822 (multiplicity 4)  1 La 3.09, 2 Ge 3.15, 2 Pb 3.38-3.42
La: 0.5000 0.0000 0.2660 (multiplicity 2)  2 La 3.25, 4 Pb 3.56
La: 0.5000 0.1972 0.9224 (multiplicity 4)  1 Ge 3.26, 4 Pb 3.39-3.45
Ge: 0.5000 0.0000 0.7597 (multiplicity 2)  8 La 3.09-3.26
Pb: 0.0000 0.1832 0.2182 (multiplicity 4)  9 La 3.33-3.56

***

6.
Below is a relaxed structure of La2GePb2, with properties calculated at the PBE level.

Values from the calculation:
formation energy	-0.4029	eV/atom
spin magnetization	0.0	Bohr magnetons per cell

Lattice parameters (Å, degrees): 8.1768 8.1768 4.9566 90.00 90.00 90.00
With the nearest neighbours (Å) after each atom.
Space group P4/mbm (No. 127)
Asymmetric unit:
La: 0.1716 0.3284 0.0000 (multiplicity 4)  2 Ge 3.03, 2 Pb 3.32
Ge: 0.0000 0.0000 0.0000 (multiplicity 2)  4 La 3.03
Pb: 0.1370 0.6370 0.5000 (multiplicity 4)  1 Pb 3.17, 2 La 3.32

***

7.
Below is a relaxed structure of LaGePb2, with properties calculated at the PBE level.

Values from the calculation:
formation energy	-0.4032	eV/atom
spin magnetization	0.0	Bohr magnetons per cell

Lattice parameters (Å, degrees): 4.7145 4.7145 5.0089 90.00 90.00 90.00
With the nearest neighbours (Å) after each atom.
Space group P4/mmm (No. 123)
Asymmetric unit:
La: 0.0000 0.0000 0.0000 (multiplicity 1)  4 Ge 3.33, 8 Pb 3.44
Ge: 0.5000 0.5000 0.0000 (multiplicity 1)  4 La 3.33, 8 Pb 3.44
Pb: 0.0000 0.5000 0.5000 (multiplicity 2)  4 Pb 3.33, 4 Ge 3.44, 4 La 3.44

***

8.
Below is a relaxed structure of La8Ge2Pb, with properties calculated at the PBE level.

Values from the calculation:
formation energy	-0.3742	eV/atom
spin magnetization	0.1	Bohr magnetons per cell

Lattice parameters (Å, degrees): 17.4679 6.7504 6.5509 90.00 109.38 90.00
With the nearest neighbours (Å) after each atom.
Space group C2/m (No. 12)
Asymmetric unit:
La: 0.0747 0.0000 0.4025 (multiplicity 4)  1 Ge 3.11, 1 La 3.27
La: 0.1134 0.2605 0.9682 (multiplicity 8)  2 Ge 3.09-3.12, 1 La 3.23, 1 Pb 3.45
La: 0.2173 0.5000 0.6059 (multiplicity 4)  1 Ge 3.15
Ge: 0.2301 0.0000 0.8103 (multiplicity 4)  6 La 3.09-3.15
Pb: 0.0000 0.5000 0.5000 (multiplicity 2)  10 La 3.45-3.75

***

Q: Number 4 is which compound?
A: La12Ge5Pb

***

Q: Which value of spin magnetization does entry 8 give?
A: 0.1 Bohr magnetons per cell

***

Q: Among the records above, which one has the lowest formation energy?
A: La2GePb

***

Repeat the fifth record exactly.
Below is a relaxed structure of La6GePb2, with properties calculated at the PBE level.

Values from the calculation:
formation energy	-0.5398	eV/atom
spin magnetization	0.0	Bohr magnetons per cell

Lattice parameters (Å, degrees): 4.5025 14.8554 8.8203 90.00 90.00 90.00
With the nearest neighbours (Å) after each atom.
Space group Amm2 (No. 38)
Asymmetric unit:
La: 0.0000 0.0000 0.0000 (multiplicity 2)  2 Ge 3.09, 2 La 3.25, 2 Pb 3.33
La: 0.0000 0.1040 0.5822 (multiplicity 4)  1 La 3.09, 2 Ge 3.15, 2 Pb 3.38-3.42
La: 0.5000 0.0000 0.2660 (multiplicity 2)  2 La 3.25, 4 Pb 3.56
La: 0.5000 0.1972 0.9224 (multiplicity 4)  1 Ge 3.26, 4 Pb 3.39-3.45
Ge: 0.5000 0.0000 0.7597 (multiplicity 2)  8 La 3.09-3.26
Pb: 0.0000 0.1832 0.2182 (multiplicity 4)  9 La 3.33-3.56